An optimized crystal structure of BaHfAg2Se4. Source: OQMD via LeMat-Bulk, functional PBE.

Calculated values
size of the total moment	0.0	μB per cell
uncorrected energy	-79.21	eV per cell

```
data_BaHfAg2Se4
_symmetry_space_group_name_H-M 'I 2 2 2'
_symmetry_Int_Tables_number 23
_cell_length_a 6.920
_cell_length_b 7.686
_cell_length_c 8.581
_cell_angle_alpha 90.00
_cell_angle_beta 90.00
_cell_angle_gamma 90.00
loop_
_symmetry_equiv_pos_as_xyz
'x,y,z'
'-x,-y,z'
'x,-y,-z'
'-x,y,-z'
'x+1/2,y+1/2,z+1/2'
'-x+1/2,-y+1/2,z+1/2'
'x+1/2,-y+1/2,-z+1/2'
'-x+1/2,y+1/2,-z+1/2'
loop_
_atom_site_label
_atom_site_fract_x
_atom_site_fract_y
_atom_site_fract_z
Ba1 0.000 0.000 0.000
Hf1 0.000 0.000 0.500
Ag1 0.000 0.500 0.168
Se1 0.198 0.198 0.326
```